No. 1
Material: CdOsRh2
Method: DFT, GGA-PBE
State: optimized geometry

Unit cell a=2.785 b=4.749 c=9.501 alpha=90.00 beta=90.00 gamma=90.00
Fractional positions:
Cd1 0.000 0.000 0.000
Cd2 0.500 0.500 0.000
Os1 0.000 0.500 0.268
Os2 0.500 0.000 0.268
Rh1 0.000 0.000 0.503
Rh2 0.000 0.500 0.746
Rh3 0.500 0.000 0.746
Rh4 0.500 0.500 0.503

## Properties
- Crystal system: orthorhombic
- Energy relative to the elements: 0.404 eV/atom
- SG: Cmm2, No. 35


No. 2
Material: CdOsRh2
Method: DFT, GGA-PBE
State: optimized geometry

Unit cell a=4.721 b=4.721 c=2.806 alpha=90.00 beta=90.00 gamma=90.00
Fractional positions:
Cd1 0.000 0.000 0.000
Os1 0.500 0.500 0.000
Rh1 0.000 0.500 0.500
Rh2 0.500 0.000 0.500

## Properties
- Crystal system: tetragonal
- Energy relative to the elements: 0.314 eV/atom
- SG: P4/mmm, No. 123


No. 3
Material: Cd2OsRh
Method: DFT, GGA-PBE
State: optimized geometry

Unit cell a=6.481 b=6.481 c=6.481 alpha=90.00 beta=90.00 gamma=90.00
Fractional positions:
Cd1 0.250 0.250 0.250
Cd2 0.250 0.250 0.750
Cd3 0.250 0.750 0.250
Cd4 0.250 0.750 0.750
Cd5 0.750 0.250 0.250
Cd6 0.750 0.250 0.750
Cd7 0.750 0.750 0.250
Cd8 0.750 0.750 0.750
Os1 0.000 0.000 0.000
Os2 0.000 0.500 0.500
Os3 0.500 0.000 0.500
Os4 0.500 0.500 0.000
Rh1 0.000 0.000 0.500
Rh2 0.000 0.500 0.000
Rh3 0.500 0.000 0.000
Rh4 0.500 0.500 0.500

## Properties
- Crystal system: cubic
- Energy relative to the elements: 0.564 eV/atom
- SG: Fm-3m, No. 225
- ΔE to the lowest computed polymorph: 410 meV per atom


No. 4
Material: Cd2OsRh
Method: DFT, GGA-PBE
State: optimized geometry

Unit cell a=2.882 b=4.883 c=9.603 alpha=90.00 beta=90.00 gamma=90.00
Fractional positions:
Cd1 0.000 0.000 0.245
Cd2 0.000 0.000 0.755
Cd3 0.500 0.500 0.255
Cd4 0.500 0.500 0.745
Os1 0.000 0.500 0.000
Os2 0.500 0.000 0.500
Rh1 0.000 0.500 0.500
Rh2 0.500 0.000 0.000

## Properties
- Crystal system: orthorhombic
- Energy relative to the elements: 0.454 eV/atom
- SG: Immm, No. 71
- ΔE to the lowest computed polymorph: 300 meV per atom


No. 5
Material: CdOsRh2
Method: DFT, GGA-PBE
State: optimized geometry

Unit cell a=2.797 b=3.779 c=5.884 alpha=90.00 beta=90.00 gamma=90.00
Fractional positions:
Cd1 0.000 0.000 0.000
Os1 0.000 0.000 0.500
Rh1 0.500 0.500 0.276
Rh2 0.500 0.500 0.724

## Properties
- Crystal system: orthorhombic
- Energy relative to the elements: 0.131 eV/atom
- SG: Pmmm, No. 47


No. 6
Material: Cd2OsRhSe
Method: DFT, GGA-PBE
State: optimized geometry

Unit cell a=5.218 b=5.218 c=4.621 alpha=90.00 beta=90.00 gamma=90.00
Fractional positions:
Cd1 0.000 0.500 0.000
Cd2 0.500 0.000 0.000
Os1 0.000 0.000 0.000
Rh1 0.000 0.000 0.500
Se1 0.500 0.500 0.500

## Properties
- Crystal system: tetragonal
- Uncorrected formation energy: 1008 meV per atom
- SG: P4/mmm, No. 123


No. 7
Material: TaCdOsRh2
Method: DFT, GGA-PBE
State: optimized geometry

Unit cell a=4.792 b=4.792 c=4.751 alpha=90.00 beta=90.00 gamma=90.00
Fractional positions:
Ta1 0.000 0.000 0.000
Cd1 0.500 0.500 0.000
Os1 0.000 0.000 0.500
Rh1 0.000 0.500 0.500
Rh2 0.500 0.000 0.500

## Properties
- Crystal system: tetragonal
- Energy relative to the elements: 1.182 eV/atom
- SG: P4/mmm, No. 123


No. 8
Material: TaCdOsRh
Method: DFT, GGA-PBE
State: optimized geometry

Unit cell a=6.389 b=6.389 c=6.389 alpha=90.00 beta=90.00 gamma=90.00
Fractional positions:
Ta1 0.000 0.000 0.000
Ta2 0.000 0.500 0.500
Ta3 0.500 0.000 0.500
Ta4 0.500 0.500 0.000
Cd1 0.000 0.000 0.500
Cd2 0.000 0.500 0.000
Cd3 0.500 0.000 0.000
Cd4 0.500 0.500 0.500
Os1 0.250 0.250 0.750
Os2 0.250 0.750 0.250
Os3 0.750 0.250 0.250
Os4 0.750 0.750 0.750
Rh1 0.250 0.250 0.250
Rh2 0.250 0.750 0.750
Rh3 0.750 0.250 0.750
Rh4 0.750 0.750 0.250

## Properties
- Crystal system: cubic
- Energy relative to the elements: -0.113 eV/atom
- SG: F-43m, No. 216